Density functional theory data (PBE) for crystalline TeMoPt2 at its relaxed geometry.

extended XYZ file:
```
4
Lattice="5.1183 -0.0071 0.0193 4.1473 2.9994 0.0193 0.4538 0.1466 4.5869" Properties=species:S:1:pos:R:3 pbc="T T T"
Pt 4.6989 1.5175 2.3889
Pt 0.6146 0.1985 4.5108
Te 2.4298 0.7847 1.1564
Mo 7.2895 2.3542 3.4691
```

Volume in Å³ per atom: 17.63
Uncorrected formation energy in kJ per mole of atoms: 14

Density functional theory data (PBE) for crystalline TiCoSn2 at its relaxed geometry.

extended XYZ file:
```
4
Lattice="0.0000 3.2957 3.2957 3.2957 0.0000 3.2957 3.2957 3.2957 0.0000" Properties=species:S:1:pos:R:3 pbc="T T T"
Ti 0.0000 0.0000 0.0000
Sn 1.6478 1.6478 1.6478
Sn 4.9435 4.9435 4.9435
Co 3.2957 3.2957 3.2957
```

Volume in Å³ per atom: 17.90
ΔE to the lowest computed polymorph in meV/atom: 0
ΔE_f in kJ/mol of atoms: 8.8

Density functional theory data (PBE) for crystalline Zn2Cd2Ag5Au at its relaxed geometry.

extended XYZ file:
```
20
Lattice="-2.1858 0.5264 -3.4479 -6.0287 -6.7769 2.7874 -5.3202 6.5301 4.3698" Properties=species:S:1:pos:R:3 pbc="T T T"
Ag -10.8135 0.8093 4.5220
Ag -7.5133 -1.7362 2.0411
Ag -8.3150 0.8637 2.9463
Ag -7.6693 -4.6658 1.6928
Ag -4.1073 -3.1253 -0.3303
Ag -2.7213 -0.5297 -0.8127
Ag -6.0214 2.0158 1.6682
Ag -3.7530 3.5283 0.4610
Ag -5.2198 -0.5841 0.7630
Ag -5.8654 4.9454 2.0165
Cd -6.3795 3.1842 4.5305
Cd -2.7822 0.9727 1.9123
Cd -4.9694 -3.4310 2.6266
Cd -8.5668 -1.2195 5.2449
Zn -4.0768 3.2343 3.0784
Zn -2.9259 -1.7273 1.5912
Zn -8.4230 1.4805 5.5659
Zn -7.2721 -3.4811 4.0788
Au 0.0000 0.0000 0.0000
Au -5.6745 -0.1234 3.5786
```

Volume in Å³ per atom: 18.53
ΔE_f in kJ/mol of atoms: 0.3

Density functional theory data (PBE) for crystalline SrY2ZnBr at its relaxed geometry.

extended XYZ file:
```
5
Lattice="-1.6110 -4.9917 -1.5298 1.1838 -2.2158 5.9836 -5.1248 1.2063 1.4606" Properties=species:S:1:pos:R:3 pbc="T T T"
Zn 0.0000 0.0000 0.0000
Y -2.5624 0.6032 0.7303
Y -0.8055 -2.4959 -0.7649
Br 0.5919 -1.1079 2.9918
Sr -2.7760 -3.0006 2.9572
```

Volume in Å³ per atom: 38.75
Uncorrected formation energy in kJ per mole of atoms: 12

Density functional theory data (PBE) for crystalline BiAuI at its relaxed geometry.

extended XYZ file:
```
3
Lattice="-2.8282 -2.6598 1.6549 2.2548 -1.1504 -3.3770 4.1847 -2.2371 3.5561" Properties=species:S:1:pos:R:3 pbc="T T T"
Bi 0.4827 -3.0209 1.3514
Au 3.2480 -3.0902 0.5841
I 4.0652 -2.1732 3.4546
```

Volume in Å³ per atom: 30.49
ΔE to the lowest computed polymorph in meV/atom: 127
Uncorrected formation energy in kJ per mole of atoms: -1

Density functional theory data (PBE) for crystalline NaLiCa2Hg4 at its relaxed geometry.

extended XYZ file:
```
8
Lattice="5.2266 0.0000 0.0000 2.6133 4.5264 0.0000 2.6133 1.5088 8.4498" Properties=species:S:1:pos:R:3 pbc="T T T"
Hg 7.8399 4.5264 3.2328
Hg 2.6133 1.5088 5.2170
Hg 5.2266 3.0176 1.1714
Hg 5.2266 3.0176 7.2784
Na 0.0000 0.0000 0.0000
Ca 7.8399 4.5264 6.3307
Ca 2.6133 1.5088 2.1191
Li 5.2266 3.0176 4.2249
```

Volume in Å³ per atom: 24.99
ΔE_f in kJ/mol of atoms: -38.0

Density functional theory data (PBE) for crystalline MgRe2Ag at its relaxed geometry.

extended XYZ file:
```
4
Lattice="2.6496 0.0000 0.0000 0.0000 2.6496 0.0000 0.0000 0.0000 9.1647" Properties=species:S:1:pos:R:3 pbc="T T T"
Ag 1.3248 1.3248 2.2912
Re 0.0000 0.0000 9.1277
Re 0.0000 0.0000 4.6193
Mg 1.3248 1.3248 6.8735
```

Volume in Å³ per atom: 16.09
ΔE_f in kJ/mol of atoms: 55.4

Density functional theory data (PBE) for crystalline KNp2AgO8 at its relaxed geometry.

extended XYZ file:
```
12
Lattice="5.6159 0.0000 0.0000 0.0000 5.6159 0.0000 -2.8079 -2.8079 5.1956" Properties=species:S:1:pos:R:3 pbc="T T T"
K 2.8079 0.0000 2.5978
O -1.1901 -1.6629 3.7712
O 4.4709 1.6178 1.4244
O 1.1450 3.9981 1.4244
O 1.1251 -1.2298 4.0691
O 1.5781 1.6828 1.1265
O -1.1251 1.2298 4.0691
O 1.1901 1.6630 3.7712
O 4.0378 3.9331 1.1265
Np 2.8079 2.8079 0.0000
Np 0.0000 2.8079 2.5978
Ag 0.0000 0.0000 0.0000
```

Volume in Å³ per atom: 13.65
Uncorrected formation energy in kJ per mole of atoms: -183